Run 1
# Ho3Er2In GGA-PBE optimized geometry
data_Ho3Er2In
_cell_length_a 5.688
_cell_length_b 6.387
_cell_length_c 10.080
_cell_angle_alpha 90.00
_cell_angle_beta 90.00
_cell_angle_gamma 90.00
_space_group_name_H-M_alt 'I m m m'
_space_group_IT_number 71
_space_group_name_Hall '-I 2 2'
loop_
_atom_site_label
_atom_site_type_symbol
_atom_site_fract_x
_atom_site_fract_y
_atom_site_fract_z
_atom_site_occupancy
Ho1 Ho 0.000 0.000 0.000 1
Ho2 Ho 0.000 0.000 0.345 1
Er1 Er 0.000 0.500 0.317 1
In1 In 0.000 0.500 0.000 1
# Calculated volume   30.516 Å³ per atom
# M_tot   0.0002 μB per atom

=====

Run 2
# Ho3Er2In GGA-PBE optimized geometry
data_Ho3Er2In
_cell_length_a 4.843
_cell_length_b 14.923
_cell_length_c 4.827
_cell_angle_alpha 90.00
_cell_angle_beta 90.00
_cell_angle_gamma 90.00
_space_group_name_H-M_alt 'C m m m'
_space_group_IT_number 65
_space_group_name_Hall '-C 2 2'
loop_
_atom_site_label
_atom_site_type_symbol
_atom_site_fract_x
_atom_site_fract_y
_atom_site_fract_z
_atom_site_occupancy
Ho1 Ho 0.000 0.000 0.000 1
Ho2 Ho 0.000 0.331 0.000 1
Er1 Er 0.000 0.162 0.500 1
In1 In 0.000 0.500 0.500 1
# Calculated volume   29.073 Å³ per atom
# M_tot   0.0000 μB per atom

=====

Most favorable first, least favorable last: run 2, run 1

=====

Run 1
# Ho2Er5In4 GGA-PBE optimized geometry
data_Ho2Er5In4
_cell_length_a 5.180
_cell_length_b 10.358
_cell_length_c 13.075
_cell_angle_alpha 90.00
_cell_angle_beta 90.00
_cell_angle_gamma 90.00
_space_group_name_H-M_alt 'I m m m'
_space_group_IT_number 71
_space_group_name_Hall '-I 2 2'
loop_
_atom_site_label
_atom_site_type_symbol
_atom_site_fract_x
_atom_site_fract_y
_atom_site_fract_z
_atom_site_occupancy
Ho1 Ho 0.000 0.000 0.168 1
Er1 Er 0.000 0.343 0.224 1
Er2 Er 0.000 0.500 0.500 1
In1 In 0.000 0.000 0.392 1
In2 In 0.000 0.214 0.000 1
# Calculated volume   31.889 Å³ per atom
# M_tot   0.0000 μB per atom

=====

Run 2
# Ho2Er5In4 GGA-PBE optimized geometry
data_Ho2Er5In4
_cell_length_a 8.546
_cell_length_b 3.403
_cell_length_c 10.461
_cell_angle_alpha 90.00
_cell_angle_beta 96.29
_cell_angle_gamma 90.00
_space_group_name_H-M_alt 'P 1 2/m 1'
_space_group_IT_number 10
_space_group_name_Hall '-P 2y'
loop_
_atom_site_label
_atom_site_type_symbol
_atom_site_fract_x
_atom_site_fract_y
_atom_site_fract_z
_atom_site_occupancy
Ho1 Ho 0.085 0.000 0.140 1
Er1 Er 0.165 0.000 0.646 1
Er2 Er 0.465 0.000 0.169 1
Er3 Er 0.500 0.000 0.500 1
In1 In 0.198 0.500 0.385 1
In2 In 0.248 0.500 0.925 1
# Calculated volume   27.490 Å³ per atom
# M_tot   0.0001 μB per atom

=====

Most favorable first, least favorable last: run 2, run 1

=====

Run 1
# Ho5Er2In4 GGA-PBE optimized geometry
data_Ho5Er2In4
_cell_length_a 8.564
_cell_length_b 3.403
_cell_length_c 10.473
_cell_angle_alpha 90.00
_cell_angle_beta 96.14
_cell_angle_gamma 90.00
_space_group_name_H-M_alt 'P 1 2/m 1'
_space_group_IT_number 10
_space_group_name_Hall '-P 2y'
loop_
_atom_site_label
_atom_site_type_symbol
_atom_site_fract_x
_atom_site_fract_y
_atom_site_fract_z
_atom_site_occupancy
Ho1 Ho 0.000 0.000 0.000 1
Ho2 Ho 0.035 0.000 0.332 1
Ho3 Ho 0.336 0.000 0.855 1
Er1 Er 0.415 0.000 0.360 1
In1 In 0.254 0.500 0.575 1
In2 In 0.302 0.500 0.117 1
# Calculated volume   27.585 Å³ per atom
# M_tot   0.0006 μB per atom

=====

Run 2
# Ho5Er2In4 GGA-PBE optimized geometry
data_Ho5Er2In4
_cell_length_a 3.431
_cell_length_b 8.492
_cell_length_c 28.559
_cell_angle_alpha 90.00
_cell_angle_beta 90.00
_cell_angle_gamma 90.00
_space_group_name_H-M_alt 'I m m m'
_space_group_IT_number 71
_space_group_name_Hall '-I 2 2'
loop_
_atom_site_label
_atom_site_type_symbol
_atom_site_fract_x
_atom_site_fract_y
_atom_site_fract_z
_atom_site_occupancy
Ho1 Ho 0.000 0.000 0.000 1
Ho2 Ho 0.000 0.304 0.298 1
Er1 Er 0.000 0.500 0.404 1
In1 In 0.000 0.180 0.500 1
In2 In 0.000 0.500 0.197 1
# Calculated volume   37.818 Å³ per atom
# M_tot   0.0000 μB per atom

=====

Most favorable first, least favorable last: run 1, run 2

=====

Run 1
# HoEr6In GGA-PBE optimized geometry
data_HoEr6In
_cell_length_a 4.866
_cell_length_b 4.866
_cell_length_c 9.887
_cell_angle_alpha 90.00
_cell_angle_beta 90.00
_cell_angle_gamma 90.00
_space_group_name_H-M_alt 'P 4/m m m'
_space_group_IT_number 123
_space_group_name_Hall '-P 4 2'
loop_
_atom_site_label
_atom_site_type_symbol
_atom_site_fract_x
_atom_site_fract_y
_atom_site_fract_z
_atom_site_occupancy
Ho1 Ho 0.000 0.000 0.000 1
Er1 Er 0.000 0.500 0.255 1
Er2 Er 0.500 0.500 0.000 1
Er3 Er 0.500 0.500 0.500 1
In1 In 0.000 0.000 0.500 1
# Calculated volume   29.260 Å³ per atom
# M_tot   0.0000 μB per atom

=====

Run 2
# HoEr6In GGA-PBE optimized geometry
data_HoEr6In
_cell_length_a 6.5242
_cell_length_b 6.5242
_cell_length_c 6.4689
_cell_angle_alpha 90.00
_cell_angle_beta 90.00
_cell_angle_gamma 120.00
_space_group_name_H-M_alt 'P -3 1 m'
_space_group_IT_number 162
_space_group_name_Hall '-P 3 2'
loop_
_atom_site_label
_atom_site_type_symbol
_atom_site_fract_x
_atom_site_fract_y
_atom_site_fract_z
_atom_site_occupancy
Ho1 Ho 0.0000 0.0000 0.0000 1
Er1 Er 0.0000 0.4342 0.2511 1
In1 In 0.0000 0.0000 0.5000 1
# Calculated volume   29.805 Å³ per atom
# M_tot   0.0000 μB per atom

=====

Most favorable first, least favorable last: run 1, run 2